Crystalline Cr2AgPtO8 at its relaxed geometry, computed with PBE+U.

```
Cr2AgPtO8
1.0
5.087 0.000 0.000
-2.543 4.405 0.000
0.000 0.000 7.357
Cr Ag Pt O
2 1 1 8
direct
0.333 0.667 0.243 Cr
0.667 0.333 0.757 Cr
0.000 0.000 0.500 Ag
0.000 0.000 0.000 Pt
0.034 0.329 0.168 O
0.295 0.966 0.168 O
0.329 0.295 0.832 O
0.333 0.667 0.464 O
0.667 0.333 0.536 O
0.671 0.705 0.168 O
0.705 0.034 0.832 O
0.966 0.671 0.832 O
```

SG: P-3
D(E_F): 3.5 states/eV per cell
Raw total energy: -72.7 eV per cell
M_tot: 1.0 μB per formula unit